Entry 1:
DFT (PBE) results for a relaxed TaCoNiAs crystal.

Unit cell a=4.243 b=4.243 c=4.243 alpha=60.00 beta=60.00 gamma=60.00
Fractional coordinates of all 4 atoms:
Ta (0.250, 0.250, 0.250)
Co (0.500, 0.500, 0.500)
As (0.000, 0.000, 0.000)
Ni (0.750, 0.750, 0.750)

Computed properties:
Crystal system   cubic
M_tot   0.0 μB per cell
Energy relative to the lowest polymorph listed for this composition   21 meV per atom
Space group   F-43m


Entry 2:
DFT (PBE) results for a relaxed BaSrHg2Pb2 crystal.

Unit cell a=5.159 b=5.159 c=8.296 alpha=90.00 beta=90.00 gamma=120.00
Fractional coordinates of all 6 atoms:
Sr (0.000, 0.000, 0.243)
Pb (0.667, 0.333, 0.968)
Pb (0.333, 0.667, 0.452)
Hg (0.667, 0.333, 0.533)
Hg (0.333, 0.667, 0.058)
Ba (0.000, 0.000, 0.747)

Computed properties:
Electronic total energy   -14.5 eV for the cell shown
Crystal system   trigonal
Space group   P3m1


Entry 3:
DFT (PBE) results for a relaxed TlReB4 crystal.

Unit cell a=4.858 b=4.858 c=4.858 alpha=143.33 beta=111.91 gamma=79.91
Fractional coordinates of all 6 atoms:
B (0.405, 0.744, 0.661)
B (0.918, 0.256, 0.661)
B (0.082, 0.744, 0.339)
B (0.595, 0.256, 0.339)
Tl (0.500, 0.500, 0.000)
Re (0.000, 0.000, 0.000)

Computed properties:
Crystal system   orthorhombic
M_tot   0.0 μB per cell
Energy relative to the lowest polymorph listed for this composition   501 meV per atom
Space group   Immm